Mn2InAsO6, optimized geometry, DFT PBE with a Hubbard U; calculated total energy = -6.675 eV per atom; total moment = 10.0 Bohr magnetons per cell; space-group type = R3, No. 146
1.0
2.681 1.548 4.637
-2.681 1.548 4.637
0.000 -3.095 4.637
Mn In As O
2 1 1 6
direct
0.000 0.000 0.000
0.493 0.493 0.493
0.219 0.219 0.219
0.709 0.709 0.709
0.055 0.460 0.818
0.354 0.906 0.606
0.460 0.818 0.055
0.606 0.354 0.906
0.818 0.055 0.460
0.906 0.606 0.354



MnIn2AsO6, optimized geometry, DFT PBE with a Hubbard U; calculated total energy = -6.114 eV per atom; total moment = 4.3 Bohr magnetons per cell; space-group type = R3, No. 146
1.0
2.728 1.575 4.836
-2.728 1.575 4.836
0.000 -3.150 4.836
Mn In As O
1 2 1 6
direct
0.000 0.000 0.000
0.215 0.215 0.215
0.721 0.721 0.721
0.511 0.511 0.511
0.140 0.403 0.785
0.314 0.883 0.612
0.403 0.785 0.140
0.612 0.314 0.883
0.785 0.140 0.403
0.883 0.612 0.314